Entry 1:
A plane-wave DFT calculation with PBE was carried out for a relaxed LaNdTeAs crystal.

Calculated values
Uncorrected formation energy = -1.544 eV per atom
Volume = 31.1 Å³ per atom
Magnetic moment = 0.00 μB/f.u.

Lattice parameters (Å, degrees): 8.061 8.061 8.061 31.16 31.16 31.16
Fractional coordinates of all 4 atoms:
La 0.000 0.000 0.000
Nd 0.188 0.188 0.188
Te 0.428 0.428 0.428
As 0.594 0.594 0.594


Entry 2:
A plane-wave DFT calculation with PBE was carried out for a relaxed La2NdTh3As6 crystal.

Calculated values
Energy of formation from the pure elements = -1.4962 eV per atom
Volume = 28.0 Å³ per atom
Magnetic moment = 0.00 μB/f.u.

Lattice parameters (Å, degrees): 9.611 9.611 8.586 103.05 103.05 25.81
Fractional coordinates of all 12 atoms:
La 0.166 0.166 0.332
La 0.834 0.834 0.668
Nd 0.500 0.500 0.000
Th 0.167 0.167 0.834
Th 0.500 0.500 0.500
Th 0.833 0.833 0.166
As 0.002 0.002 0.748
As 0.333 0.333 0.921
As 0.335 0.335 0.412
As 0.665 0.665 0.588
As 0.667 0.667 0.079
As 0.998 0.998 0.252


Entry 3:
A plane-wave DFT calculation with PBE was carried out for a relaxed La2Nd3ThAs6 crystal.

Calculated values
Energy of formation from the pure elements = -1.5350 eV per atom
Volume = 28.1 Å³ per atom
Magnetic moment = 0.00 μB/f.u.

Lattice parameters (Å, degrees): 9.609 9.609 8.607 102.78 102.78 25.88
Fractional coordinates of all 12 atoms:
La 0.167 0.167 0.335
La 0.833 0.833 0.665
Nd 0.168 0.168 0.833
Nd 0.500 0.500 0.500
Nd 0.832 0.832 0.167
Th 0.500 0.500 0.000
As 0.001 0.001 0.755
As 0.334 0.334 0.414
As 0.335 0.335 0.920
As 0.665 0.665 0.080
As 0.666 0.666 0.586
As 0.999 0.999 0.245


Entry 4:
A plane-wave DFT calculation with PBE was carried out for a relaxed LaNd2Th3As6 crystal.

Calculated values
Energy of formation from the pure elements = -1.4848 eV per atom
Volume = 27.7 Å³ per atom
Magnetic moment = 0.00 μB/f.u.

Lattice parameters (Å, degrees): 7.411 7.411 7.406 99.62 99.62 119.93
Fractional coordinates of all 12 atoms:
La 0.000 0.000 0.000
Nd 0.333 0.667 0.000
Nd 0.667 0.333 0.000
Th 0.166 0.834 0.500
Th 0.500 0.500 0.500
Th 0.834 0.166 0.500
As 0.085 0.421 0.256
As 0.251 0.251 0.746
As 0.421 0.085 0.256
As 0.579 0.915 0.744
As 0.749 0.749 0.254
As 0.915 0.579 0.744


Entry 5:
A plane-wave DFT calculation with PBE was carried out for a relaxed La3Nd2ThAs6 crystal.

Calculated values
Energy of formation from the pure elements = -1.5473 eV per atom
Volume = 28.5 Å³ per atom
Magnetic moment = 0.00 μB/f.u.

Lattice parameters (Å, degrees): 9.656 9.656 8.647 103.03 103.03 25.84
Fractional coordinates of all 12 atoms:
La 0.000 0.000 0.000
La 0.332 0.332 0.668
La 0.668 0.668 0.332
Nd 0.333 0.333 0.165
Nd 0.667 0.667 0.835
Th 0.000 0.000 0.500
As 0.164 0.164 0.584
As 0.167 0.167 0.081
As 0.499 0.499 0.256
As 0.501 0.501 0.744
As 0.833 0.833 0.919
As 0.836 0.836 0.416


Entry 6:
A plane-wave DFT calculation with PBE was carried out for a relaxed La4NdTh3As8 crystal.

Calculated values
Energy of formation from the pure elements = -1.5275 eV per atom
Volume = 28.4 Å³ per atom
Magnetic moment = 0.00 μB/f.u.

Lattice parameters (Å, degrees): 8.636 8.636 8.636 59.85 59.85 59.85
Fractional coordinates of all 16 atoms:
La 0.000 0.000 0.000
La 0.000 0.500 0.500
La 0.500 0.000 0.500
La 0.500 0.500 0.000
Nd 0.500 0.500 0.500
Th 0.000 0.000 0.500
Th 0.000 0.500 0.000
Th 0.500 0.000 0.000
As 0.245 0.749 0.749
As 0.247 0.247 0.247
As 0.251 0.251 0.755
As 0.251 0.755 0.251
As 0.749 0.245 0.749
As 0.749 0.749 0.245
As 0.753 0.753 0.753
As 0.755 0.251 0.251